(1)
A plane-wave DFT calculation with PBE-GGA was carried out for an optimized crystal structure of RbFe2HgBr6.

Cell lengths 11.145, 11.145, 6.466 Å; angles 92.68, 92.68, 87.25 degrees
Element x y z (fractional)
Rb 0.209 0.791 0.750
Rb 0.791 0.209 0.250
Fe 0.142 0.300 0.658
Fe 0.300 0.142 0.158
Fe 0.700 0.858 0.842
Fe 0.858 0.700 0.342
Hg 0.405 0.595 0.250
Hg 0.595 0.405 0.750
Br 0.059 0.703 0.251
Br 0.124 0.266 0.272
Br 0.247 0.473 0.739
Br 0.266 0.124 0.772
Br 0.297 0.941 0.249
Br 0.473 0.247 0.239
Br 0.527 0.753 0.761
Br 0.703 0.059 0.751
Br 0.734 0.876 0.228
Br 0.753 0.527 0.261
Br 0.876 0.734 0.728
Br 0.941 0.297 0.749

(2)
A plane-wave DFT calculation with PBE-GGA was carried out for an optimized crystal structure of RbFe2HgBr8.

Cell lengths 6.909, 6.909, 10.209 Å; angles 96.58, 96.58, 70.26 degrees
Element x y z (fractional)
Rb 0.000 0.000 0.000
Fe 0.388 0.388 0.723
Fe 0.612 0.612 0.277
Hg 0.000 0.000 0.500
Br 0.246 0.729 0.282
Br 0.252 0.252 0.523
Br 0.271 0.754 0.718
Br 0.303 0.303 0.920
Br 0.697 0.697 0.080
Br 0.729 0.246 0.282
Br 0.748 0.748 0.477
Br 0.754 0.271 0.718

(3)
A plane-wave DFT calculation with PBE-GGA was carried out for an optimized crystal structure of FeHgSe2Br.

Its energy above the lowest structure with this stoichiometry is 0.000 eV per formula unit.

Cell lengths 4.656, 4.656, 5.257 Å; angles 90.00, 90.00, 90.00 degrees
Element x y z (fractional)
Fe 0.000 0.000 0.000
Hg 0.500 0.500 0.500
Se 0.000 0.500 0.000
Se 0.500 0.000 0.000
Br 0.000 0.000 0.500

Uncorrected formation energy (kJ/mol of formula units)
-646; -788; 86